[1]
MnPb3I2Br6 after structural relaxation. Source: the Alexandria database, functional PBE.

Computed properties:
Calculated total energy, eV per formula unit: -42.7
DOS(E_F), states/eV per atom: 0.000
ΔE_f (raw), eV per formula unit: -9.31

Geometry as CIF:
```
data_MnPb3I2Br6
_symmetry_space_group_name_H-M 'C 1 2/m 1'
_symmetry_Int_Tables_number 12
_cell_length_a 15.146
_cell_length_b 8.540
_cell_length_c 6.938
_cell_angle_alpha 90.00
_cell_angle_beta 93.68
_cell_angle_gamma 90.00
loop_
_symmetry_equiv_pos_as_xyz
'x,y,z'
'-x,-y,-z'
'-x,y,-z'
'x,-y,z'
'x+1/2,y+1/2,z'
'-x+1/2,-y+1/2,-z'
'-x+1/2,y+1/2,-z'
'x+1/2,-y+1/2,z'
loop_
_atom_site_label
_atom_site_type_symbol
_atom_site_fract_x
_atom_site_fract_y
_atom_site_fract_z
Mn1 Mn 0.000 0.000 0.000
Pb1 Pb 0.000 0.500 0.500
Pb2 Pb 0.250 0.250 0.000
I1 I 0.189 0.500 0.313
Br1 Br 0.069 0.233 0.774
Br2 Br 0.150 0.000 0.216
```


[2]
MnPb3I6Br2 after structural relaxation. Source: the Alexandria database, functional PBE.

Computed properties:
Calculated total energy, eV per formula unit: -40.4
DOS(E_F), states/eV per atom: 0.000
ΔE_f (raw), eV per formula unit: -7.50

Geometry as CIF:
```
data_MnPb3I6Br2
_symmetry_space_group_name_H-M 'C 1 2/m 1'
_symmetry_Int_Tables_number 12
_cell_length_a 15.652
_cell_length_b 8.952
_cell_length_c 7.049
_cell_angle_alpha 90.00
_cell_angle_beta 93.42
_cell_angle_gamma 90.00
loop_
_symmetry_equiv_pos_as_xyz
'x,y,z'
'-x,-y,-z'
'-x,y,-z'
'x,-y,z'
'x+1/2,y+1/2,z'
'-x+1/2,-y+1/2,-z'
'-x+1/2,y+1/2,-z'
'x+1/2,-y+1/2,z'
loop_
_atom_site_label
_atom_site_type_symbol
_atom_site_fract_x
_atom_site_fract_y
_atom_site_fract_z
Mn1 Mn 0.000 0.000 0.000
Pb1 Pb 0.000 0.500 0.500
Pb2 Pb 0.250 0.250 0.000
I1 I 0.082 0.234 0.246
I2 I 0.141 0.000 0.759
Br1 Br 0.170 0.500 0.747
```


[3]
RbMnIBr2 after structural relaxation. Source: the Alexandria database, functional PBE.

Computed properties:
Calculated total energy, eV per formula unit: -20.4
DOS(E_F), states/eV per atom: 0.000
ΔE_f (raw), eV per formula unit: -5.33
Distance to the lowest polymorph of the same formula, meV per atom: 0.0

Geometry as CIF:
```
data_RbMnIBr2
_symmetry_space_group_name_H-M 'P 1 21/m 1'
_symmetry_Int_Tables_number 11
_cell_length_a 8.440
_cell_length_b 5.863
_cell_length_c 9.311
_cell_angle_alpha 90.00
_cell_angle_beta 105.94
_cell_angle_gamma 90.00
loop_
_symmetry_equiv_pos_as_xyz
'x,y,z'
'-x,-y,-z'
'-x,y+1/2,-z'
'x,-y+1/2,z'
loop_
_atom_site_label
_atom_site_type_symbol
_atom_site_fract_x
_atom_site_fract_y
_atom_site_fract_z
Rb1 Rb 0.210 0.250 0.350
Mn1 Mn 0.419 0.250 0.846
I1 I 0.092 0.250 0.728
Br1 Br 0.423 0.750 0.342
Br2 Br 0.452 0.750 0.875
```


[4]
RbMnIBr2 after structural relaxation. Source: the Alexandria database, functional PBE.

Computed properties:
Calculated total energy, eV per formula unit: -20.2
ΔE_f (raw), eV per formula unit: -5.13
Distance to the lowest polymorph of the same formula, meV per atom: 40.6

Geometry as CIF:
```
data_RbMnIBr2
_symmetry_space_group_name_H-M 'P 4/m m m'
_symmetry_Int_Tables_number 123
_symmetry_space_group_name_Hall '-P 4 2'
_cell_length_a 5.392
_cell_length_b 5.392
_cell_length_c 5.855
_cell_angle_alpha 90.00
_cell_angle_beta 90.00
_cell_angle_gamma 90.00
loop_
_atom_site_label
_atom_site_type_symbol
_atom_site_fract_x
_atom_site_fract_y
_atom_site_fract_z
Rb1 Rb 0.000 0.000 0.000
Mn1 Mn 0.500 0.500 0.500
I1 I 0.500 0.500 0.000
Br1 Br 0.000 0.500 0.500
```


[5]
MnSe2IBr after structural relaxation. Source: the Alexandria database, functional PBE.

Computed properties:
Calculated total energy, eV per formula unit: -18.0
DOS(E_F), states/eV per atom: 1.215
ΔE_f (raw), eV per formula unit: 1.40
Distance to the lowest polymorph of the same formula, meV per atom: 0.0

Geometry as CIF:
```
data_MnSe2IBr
_symmetry_space_group_name_H-M 'P 4/m m m'
_symmetry_Int_Tables_number 123
_symmetry_space_group_name_Hall '-P 4 2'
_cell_length_a 4.763
_cell_length_b 4.763
_cell_length_c 5.040
_cell_angle_alpha 90.00
_cell_angle_beta 90.00
_cell_angle_gamma 90.00
loop_
_atom_site_label
_atom_site_type_symbol
_atom_site_fract_x
_atom_site_fract_y
_atom_site_fract_z
Mn1 Mn 0.000 0.000 0.000
Se1 Se 0.000 0.500 0.000
I1 I 0.500 0.500 0.500
Br1 Br 0.000 0.000 0.500
```


[6]
MnSiI2Br after structural relaxation. Source: the Alexandria database, functional PBE.

Computed properties:
Calculated total energy, eV per formula unit: -17.7
DOS(E_F), states/eV per atom: 1.059
ΔE_f (raw), eV per formula unit: 1.63

Geometry as CIF:
```
data_MnSiI2Br
_symmetry_space_group_name_H-M 'P 4/m m m'
_symmetry_Int_Tables_number 123
_symmetry_space_group_name_Hall '-P 4 2'
_cell_length_a 5.726
_cell_length_b 5.726
_cell_length_c 5.207
_cell_angle_alpha 90.00
_cell_angle_beta 90.00
_cell_angle_gamma 90.00
loop_
_atom_site_label
_atom_site_type_symbol
_atom_site_fract_x
_atom_site_fract_y
_atom_site_fract_z
Mn1 Mn 0.000 0.000 0.000
Si1 Si 0.500 0.500 0.500
I1 I 0.000 0.500 0.500
Br1 Br 0.500 0.500 0.000
```


[7]
Sr3MnI2Br6 after structural relaxation. Source: the Alexandria database, functional PBE.

Computed properties:
Calculated total energy, eV per formula unit: -46.9
DOS(E_F), states/eV per atom: 0.000
ΔE_f (raw), eV per formula unit: -19.55

Geometry as CIF:
```
data_Sr3MnI2Br6
_symmetry_space_group_name_H-M 'C 1 2/m 1'
_symmetry_Int_Tables_number 12
_cell_length_a 15.137
_cell_length_b 8.753
_cell_length_c 7.010
_cell_angle_alpha 90.00
_cell_angle_beta 94.05
_cell_angle_gamma 90.00
loop_
_symmetry_equiv_pos_as_xyz
'x,y,z'
'-x,-y,-z'
'-x,y,-z'
'x,-y,z'
'x+1/2,y+1/2,z'
'-x+1/2,-y+1/2,-z'
'-x+1/2,y+1/2,-z'
'x+1/2,-y+1/2,z'
loop_
_atom_site_label
_atom_site_type_symbol
_atom_site_fract_x
_atom_site_fract_y
_atom_site_fract_z
Sr1 Sr 0.000 0.000 0.000
Sr2 Sr 0.250 0.250 0.500
Mn1 Mn 0.000 0.500 0.500
I1 I 0.190 0.000 0.810
Br1 Br 0.067 0.265 0.277
Br2 Br 0.153 0.500 0.709
```


[8]
MnTe2IBr after structural relaxation. Source: the Alexandria database, functional PBE.

Computed properties:
Calculated total energy, eV per formula unit: -16.9
DOS(E_F), states/eV per atom: 1.493
ΔE_f (raw), eV per formula unit: 1.80
Distance to the lowest polymorph of the same formula, meV per atom: 0.0

Geometry as CIF:
```
data_MnTe2IBr
_symmetry_space_group_name_H-M 'P 4/m m m'
_symmetry_Int_Tables_number 123
_symmetry_space_group_name_Hall '-P 4 2'
_cell_length_a 5.007
_cell_length_b 5.007
_cell_length_c 5.506
_cell_angle_alpha 90.00
_cell_angle_beta 90.00
_cell_angle_gamma 90.00
loop_
_atom_site_label
_atom_site_type_symbol
_atom_site_fract_x
_atom_site_fract_y
_atom_site_fract_z
Mn1 Mn 0.000 0.000 0.000
Te1 Te 0.000 0.500 0.000
I1 I 0.000 0.000 0.500
Br1 Br 0.500 0.500 0.500
```


[9]
MnTeI2Br after structural relaxation. Source: the Alexandria database, functional PBE.

Computed properties:
Calculated total energy, eV per formula unit: -15.2
DOS(E_F), states/eV per atom: 1.617
ΔE_f (raw), eV per formula unit: 1.84
Distance to the lowest polymorph of the same formula, meV per atom: 0.0

Geometry as CIF:
```
data_MnTeI2Br
_symmetry_space_group_name_H-M 'P 4/m m m'
_symmetry_Int_Tables_number 123
_symmetry_space_group_name_Hall '-P 4 2'
_cell_length_a 5.385
_cell_length_b 5.385
_cell_length_c 4.949
_cell_angle_alpha 90.00
_cell_angle_beta 90.00
_cell_angle_gamma 90.00
loop_
_atom_site_label
_atom_site_type_symbol
_atom_site_fract_x
_atom_site_fract_y
_atom_site_fract_z
Mn1 Mn 0.000 0.000 0.000
Te1 Te 0.000 0.000 0.500
I1 I 0.000 0.500 0.000
Br1 Br 0.500 0.500 0.500
```


[10]
MnTeI2Br after structural relaxation. Source: the Alexandria database, functional PBE.

Computed properties:
Calculated total energy, eV per formula unit: -13.1
DOS(E_F), states/eV per atom: 0.593
ΔE_f (raw), eV per formula unit: 4.01
Distance to the lowest polymorph of the same formula, meV per atom: 432.5

Geometry as CIF:
```
data_MnTeI2Br
_symmetry_space_group_name_H-M 'P 4/m m m'
_symmetry_Int_Tables_number 123
_symmetry_space_group_name_Hall '-P 4 2'
_cell_length_a 5.784
_cell_length_b 5.784
_cell_length_c 5.879
_cell_angle_alpha 90.00
_cell_angle_beta 90.00
_cell_angle_gamma 90.00
loop_
_atom_site_label
_atom_site_type_symbol
_atom_site_fract_x
_atom_site_fract_y
_atom_site_fract_z
Mn1 Mn 0.000 0.000 0.000
Te1 Te 0.500 0.500 0.000
I1 I 0.000 0.500 0.500
Br1 Br 0.500 0.500 0.500
```


[11]
MnTe2IBr after structural relaxation. Source: the Alexandria database, functional PBE.

Computed properties:
Calculated total energy, eV per formula unit: -14.0
DOS(E_F), states/eV per atom: 0.825
ΔE_f (raw), eV per formula unit: 4.65
Distance to the lowest polymorph of the same formula, meV per atom: 569.7

Geometry as CIF:
```
data_MnTe2IBr
_symmetry_space_group_name_H-M 'P 4/m m m'
_symmetry_Int_Tables_number 123
_symmetry_space_group_name_Hall '-P 4 2'
_cell_length_a 5.672
_cell_length_b 5.672
_cell_length_c 5.732
_cell_angle_alpha 90.00
_cell_angle_beta 90.00
_cell_angle_gamma 90.00
loop_
_atom_site_label
_atom_site_type_symbol
_atom_site_fract_x
_atom_site_fract_y
_atom_site_fract_z
Mn1 Mn 0.000 0.000 0.000
Te1 Te 0.000 0.500 0.500
I1 I 0.500 0.500 0.000
Br1 Br 0.500 0.500 0.500
```


[12]
Mn2TlIBr after structural relaxation. Source: the Alexandria database, functional PBE.

Computed properties:
Calculated total energy, eV per formula unit: -21.0
DOS(E_F), states/eV per atom: 1.039
ΔE_f (raw), eV per formula unit: 2.92

Geometry as CIF:
```
data_Mn2TlIBr
_symmetry_space_group_name_H-M 'P 4/m m m'
_symmetry_Int_Tables_number 123
_symmetry_space_group_name_Hall '-P 4 2'
_cell_length_a 4.931
_cell_length_b 4.931
_cell_length_c 7.101
_cell_angle_alpha 90.00
_cell_angle_beta 90.00
_cell_angle_gamma 90.00
loop_
_atom_site_label
_atom_site_type_symbol
_atom_site_fract_x
_atom_site_fract_y
_atom_site_fract_z
Mn1 Mn 0.000 0.500 0.000
Tl1 Tl 0.000 0.000 0.500
I1 I 0.500 0.500 0.500
Br1 Br 0.000 0.000 0.000
```


Question: Number 2 is which compound?
Answer: MnPb3I6Br2


Copy entry 11 word for word.
MnTe2IBr after structural relaxation. Source: the Alexandria database, functional PBE.

Computed properties:
Calculated total energy, eV per formula unit: -14.0
DOS(E_F), states/eV per atom: 0.825
ΔE_f (raw), eV per formula unit: 4.65
Distance to the lowest polymorph of the same formula, meV per atom: 569.7

Geometry as CIF:
```
data_MnTe2IBr
_symmetry_space_group_name_H-M 'P 4/m m m'
_symmetry_Int_Tables_number 123
_symmetry_space_group_name_Hall '-P 4 2'
_cell_length_a 5.672
_cell_length_b 5.672
_cell_length_c 5.732
_cell_angle_alpha 90.00
_cell_angle_beta 90.00
_cell_angle_gamma 90.00
loop_
_atom_site_label
_atom_site_type_symbol
_atom_site_fract_x
_atom_site_fract_y
_atom_site_fract_z
Mn1 Mn 0.000 0.000 0.000
Te1 Te 0.000 0.500 0.500
I1 I 0.500 0.500 0.000
Br1 Br 0.500 0.500 0.500
```